*i*
The following is a DFT calculation (PBE) of a geometry-optimized TaAsPb structure.

a = 5.9168 Å, b = 5.9168 Å, c = 5.9168 Å
α = 146.07°, β = 146.09°, γ = 48.73°
Closest atoms and distances in Å follow each position.
Element x y z (fractional)
As: 0.0371 0.0371 0.0000  4 Ta 2.65
Pb: 0.3292 0.3292 0.0000  5 As 3.15-3.31, 5 Ta 3.23-3.28, 4 Pb 3.45
Ta: 0.6336 0.6336 0.0000  4 As 2.65

## Properties
The crystal system is tetragonal.

***

*ii*
The following is a DFT calculation (PBE) of a geometry-optimized TaAsPb structure.

a = 4.6430 Å, b = 4.6430 Å, c = 4.6430 Å
α = 60.00°, β = 60.00°, γ = 60.00°
Closest atoms and distances in Å follow each position.
Element x y z (fractional)
As: 0.2500 0.2500 0.2500  4 Ta 2.84, 4 Pb 2.84
Ta: 0.5000 0.5000 0.5000  4 As 2.84
Pb: 0.0000 0.0000 0.0000  4 As 2.84

## Properties
The crystal system is cubic.

***

*iii*
The following is a DFT calculation (PBE) of a geometry-optimized TaAsPb structure.

a = 3.3982 Å, b = 3.3982 Å, c = 6.7049 Å
α = 90.00°, β = 90.00°, γ = 120.00°
Closest atoms and distances in Å follow each position.
Element x y z (fractional)
As: 0.0000 0.0000 0.9502  3 Ta 2.56
Pb: 0.6667 0.3333 0.3439  3 Ta 3.12, 3 As 3.29, 6 Pb 3.40
Ta: 0.3333 0.6667 0.7059  3 As 2.56

## Properties
The crystal system is trigonal.

***

*iv*
The following is a DFT calculation (PBE) of a geometry-optimized TaAsPb structure.

a = 7.6573 Å, b = 7.6573 Å, c = 7.6573 Å
α = 156.88°, β = 156.88°, γ = 32.92°
Closest atoms and distances in Å follow each position.
Element x y z (fractional)
As: 0.0320 0.0320 0.0000  4 Ta 2.80, 4 As 3.07
Ta: 0.6522 0.6522 0.0000  4 As 2.80, 4 Ta 3.07
Pb: 0.3158 0.3158 0.0000  4 Pb 3.07, 4 Ta 3.24

## Properties
The crystal system is tetragonal.

***

Least stable: *ii*

***

*i*
The following is a DFT calculation (PBE) of a geometry-optimized TeAsPb2 structure.

a = 5.4935 Å, b = 5.4566 Å, c = 3.8063 Å
α = 90.00°, β = 90.00°, γ = 90.00°
Closest atoms and distances in Å follow each position.
Element x y z (fractional)
Pb: 0.0000 0.0000 0.0000  4 As 3.33, 4 Te 3.34
Pb: 0.5000 0.5000 0.0000  4 Te 3.33, 4 As 3.34
As: 0.0000 0.5000 0.5000  8 Pb 3.33-3.34
Te: 0.5000 0.0000 0.5000  8 Pb 3.33-3.34

## Properties
The crystal system is orthorhombic.

***

*ii*
The following is a DFT calculation (PBE) of a geometry-optimized TeAsPb2 structure.

a = 6.5193 Å, b = 6.5193 Å, c = 6.5193 Å
α = 139.37°, β = 139.37°, γ = 58.82°
Closest atoms and distances in Å follow each position.
Element x y z (fractional)
Pb: 0.2500 0.7500 0.5000  4 As 3.20
Pb: 0.0000 0.0000 0.0000  4 Te 3.20
Te: 0.5000 0.5000 0.0000  4 Pb 3.20
As: 0.7500 0.2500 0.5000  4 Pb 3.20

## Properties
The crystal system is tetragonal.

***

*iii*
The following is a DFT calculation (PBE) of a geometry-optimized TeAsPb2 structure.

a = 7.6993 Å, b = 7.6993 Å, c = 4.2336 Å
α = 90.02°, β = 90.02°, γ = 31.24°
Closest atoms and distances in Å follow each position.
Element x y z (fractional)
As: 0.7164 0.7164 0.8751  6 Pb 3.05-3.20
Te: 0.4672 0.4672 0.3748  5 Pb 3.01-3.22
Pb: 0.2642 0.2642 0.3751  1 Te 3.01, 4 As 3.05
Pb: 0.0522 0.0522 0.8750  2 As 3.20, 4 Te 3.22

## Properties
The crystal system is orthorhombic.

***

*iv*
The following is a DFT calculation (PBE) of a geometry-optimized TeAsPb2 structure.

a = 7.6592 Å, b = 7.6592 Å, c = 7.4326 Å
α = 58.99°, β = 58.99°, γ = 90.00°
Closest atoms and distances in Å follow each position.
Element x y z (fractional)
Pb: 0.1541 0.6250 0.2500  2 As 2.85, 2 Te 3.14
Pb: 0.8750 0.8459 0.7500  2 As 2.85, 2 Te 3.14
Pb: 0.3750 0.4041 0.7500  2 As 2.85, 2 Te 3.14
Pb: 0.5959 0.1250 0.2500  2 As 2.85, 2 Te 3.14
As: 0.2500 0.7500 0.5000  4 Pb 2.85
As: 0.5000 0.5000 0.0000  4 Pb 2.85
Te: 0.0000 0.0000 0.0000  4 Pb 3.14
Te: 0.7500 0.2500 0.5000  4 Pb 3.14

## Properties
The crystal system is tetragonal.

***

Least stable: *ii*

***

*i*
The following is a DFT calculation (PBE) of a geometry-optimized TeAsPb2 structure.

a = 6.8650 Å, b = 6.8650 Å, c = 6.8650 Å
α = 147.28°, β = 137.62°, γ = 54.55°
Closest atoms and distances in Å follow each position.
Element x y z (fractional)
Te: 0.7500 0.2500 0.5000  4 As 3.15, 4 Pb 3.43
Pb: 0.4441 0.4441 0.0000  2 As 3.06
Pb: 0.0559 0.0559 0.0000  2 As 3.06
As: 0.2500 0.7500 0.5000  4 Pb 3.06, 4 Te 3.15

## Properties
The crystal system is orthorhombic.

***

*ii*
The following is a DFT calculation (PBE) of a geometry-optimized TeAsPb2 structure.

a = 4.4168 Å, b = 4.4168 Å, c = 7.7384 Å
α = 73.93°, β = 73.93°, γ = 59.37°
Closest atoms and distances in Å follow each position.
Element x y z (fractional)
Pb: 0.0106 0.0106 0.9715  3 As 3.02, 3 Te 3.25-3.27
Pb: 0.4894 0.4894 0.5285  3 As 3.02, 3 Te 3.25-3.27
As: 0.7500 0.7500 0.7500  6 Pb 3.02
Te: 0.2500 0.2500 0.2500  6 Pb 3.25-3.27

## Properties
The crystal system is monoclinic.

***

*iii*
The following is a DFT calculation (PBE) of a geometry-optimized TeAsPb2 structure.

a = 4.2872 Å, b = 3.2962 Å, c = 10.9935 Å
α = 51.10°, β = 90.00°, γ = 90.00°
Closest atoms and distances in Å follow each position.
Element x y z (fractional)
As: 0.5000 0.7500 0.7500  8 Pb 3.22-3.29, 2 As 3.30
Pb: 0.0000 0.8275 0.9613  4 As 3.22-3.29, 2 Te 3.27, 2 Pb 3.30
Pb: 0.0000 0.6725 0.5387  4 As 3.22-3.29, 2 Te 3.27, 2 Pb 3.30
Te: 0.5000 0.2500 0.2500  4 Pb 3.27, 2 Te 3.30

## Properties
The crystal system is monoclinic.

***

Least stable: *i*

***

*i*
The following is a DFT calculation (PBE) of a geometry-optimized TeAsPb2 structure.

a = 6.3163 Å, b = 6.3163 Å, c = 6.3163 Å
α = 145.06°, β = 127.62°, γ = 64.52°
Closest atoms and distances in Å follow each position.
Element x y z (fractional)
As: 0.2559 0.7559 0.5000  2 Te 2.99, 2 Pb 3.07
Pb: 0.7409 0.2409 0.5000  4 As 3.38, 4 Te 3.43-3.73, 4 Pb 3.58-3.63
Pb: 0.0304 0.0304 0.0000  2 As 3.07, 4 Te 3.43
Te: 0.4728 0.4728 0.0000  2 As 2.99

## Properties
The crystal system is orthorhombic.

***

*ii*
The following is a DFT calculation (PBE) of a geometry-optimized TeAsPb2 structure.

a = 5.9171 Å, b = 3.3132 Å, c = 6.6184 Å
α = 102.22°, β = 90.00°, γ = 90.00°
Closest atoms and distances in Å follow each position.
Element x y z (fractional)
Te: 0.0000 0.6939 0.4116  3 Pb 3.10-3.25, 2 Te 3.31
Pb: 0.0000 0.8684 0.8906  2 As 3.08, 1 Te 3.10, 2 Pb 3.31
Pb: 0.5000 0.3176 0.2901  2 As 2.91-3.04, 2 Te 3.25
As: 0.5000 0.6201 0.9077  4 Pb 2.91-3.08

## Properties
The crystal system is monoclinic.

***

*iii*
The following is a DFT calculation (PBE) of a geometry-optimized TeAsPb2 structure.

a = 5.4239 Å, b = 5.4239 Å, c = 5.4239 Å
α = 60.00°, β = 60.00°, γ = 60.00°
Closest atoms and distances in Å follow each position.
Element x y z (fractional)
Pb: 0.2500 0.2500 0.2500  4 As 3.32, 4 Pb 3.32
Pb: 0.0000 0.0000 0.0000  4 Te 3.32, 4 Pb 3.32
As: 0.5000 0.5000 0.5000  4 Pb 3.32, 4 Te 3.32
Te: 0.7500 0.7500 0.7500  4 As 3.32, 4 Pb 3.32

## Properties
The crystal system is cubic.

***

Least stable: *iii*

***

*i*
The following is a DFT calculation (PBE) of a geometry-optimized TeAsPb2 structure.

a = 5.3538 Å, b = 5.3538 Å, c = 4.1265 Å
α = 90.02°, β = 90.02°, γ = 102.29°
Closest atoms and distances in Å follow each position.
Element x y z (fractional)
As: 0.0000 0.5000 0.5000  2 Te 3.36, 8 Pb 3.38
Pb: 0.5000 0.5000 0.0000  2 Pb 3.36, 4 As 3.38, 4 Te 3.38
Pb: 0.0000 0.0000 0.0000  2 Pb 3.36, 4 Te 3.38, 4 As 3.38
Te: 0.5000 0.0000 0.5000  2 As 3.36, 8 Pb 3.38

## Properties
The crystal system is orthorhombic.

***

*ii*
The following is a DFT calculation (PBE) of a geometry-optimized TeAsPb2 structure.

a = 4.3189 Å, b = 4.3189 Å, c = 8.0947 Å
α = 74.53°, β = 74.53°, γ = 60.00°
Closest atoms and distances in Å follow each position.
Element x y z (fractional)
Pb: 0.2626 0.2626 0.2121  3 As 2.97
Pb: 0.0756 0.0756 0.7731  3 As 3.06, 3 Te 3.20
Te: 0.4960 0.4960 0.5120  6 Pb 3.20-3.40
As: 0.6657 0.6657 0.0028  6 Pb 2.97-3.06

## Properties
The crystal system is trigonal.

***

Least stable: *i*

***

*i*
The following is a DFT calculation (PBE) of a geometry-optimized TeAsPb2 structure.

a = 3.7147 Å, b = 3.7147 Å, c = 8.2886 Å
α = 90.00°, β = 90.00°, γ = 90.00°
Closest atoms and distances in Å follow each position.
Element x y z (fractional)
Pb: 0.0000 0.0000 0.5280  4 As 3.21, 4 Te 3.49
Pb: 0.0000 0.0000 0.9720  4 As 3.21, 4 Te 3.49
Te: 0.5000 0.5000 0.2500  8 Pb 3.49, 4 Te 3.71
As: 0.5000 0.5000 0.7500  8 Pb 3.21

## Properties
The crystal system is tetragonal.

***

*ii*
The following is a DFT calculation (PBE) of a geometry-optimized TeAsPb2 structure.

a = 5.4610 Å, b = 5.4610 Å, c = 5.4610 Å
α = 60.00°, β = 60.00°, γ = 60.00°
Closest atoms and distances in Å follow each position.
Element x y z (fractional)
Te: 0.5000 0.5000 0.5000  8 Pb 3.34
As: 0.0000 0.0000 0.0000  8 Pb 3.34
Pb: 0.2500 0.2500 0.2500  4 As 3.34, 4 Te 3.34
Pb: 0.7500 0.7500 0.7500  4 As 3.34, 4 Te 3.34

## Properties
The crystal system is cubic.

***

Least stable: *ii*

***

*i*
The following is a DFT calculation (PBE) of a geometry-optimized TeAsPb structure.

a = 4.3944 Å, b = 4.3944 Å, c = 5.1868 Å
α = 90.00°, β = 90.00°, γ = 120.00°
Closest atoms and distances in Å follow each position.
Element x y z (fractional)
Te: 0.6667 0.3333 0.6892  3 As 3.02, 3 Pb 3.22
Pb: 0.3333 0.6667 0.3074  3 As 2.99, 3 Te 3.22
As: 0.0000 0.0000 0.0035  3 Pb 2.99, 3 Te 3.02

## Properties
The crystal system is trigonal.

***

*ii*
The following is a DFT calculation (PBE) of a geometry-optimized TeAsPb structure.

a = 5.5339 Å, b = 5.5339 Å, c = 3.1304 Å
α = 90.00°, β = 90.00°, γ = 120.00°
Closest atoms and distances in Å follow each position.
Element x y z (fractional)
Pb: 0.3333 0.6667 0.1925  2 Pb 3.13, 3 As 3.31, 3 Te 3.33
As: 0.0000 0.0000 0.9180  2 As 3.13, 3 Te 3.20, 3 Pb 3.31
Te: 0.6667 0.3333 0.8895  2 Te 3.13, 3 As 3.20, 3 Pb 3.33

## Properties
The crystal system is trigonal.

***

*iii*
The following is a DFT calculation (PBE) of a geometry-optimized TeAsPb structure.

a = 9.1781 Å, b = 9.1781 Å, c = 9.1781 Å
α = 159.95°, β = 159.95°, γ = 28.50°
Closest atoms and distances in Å follow each position.
Element x y z (fractional)
Pb: 0.3508 0.3508 0.0000  4 As 3.12, 4 Pb 3.20
As: 0.9720 0.9720 0.0000  4 Pb 3.12, 4 As 3.20
Te: 0.6772 0.6772 0.0000  4 Te 3.20

## Properties
The crystal system is tetragonal.

***

*iv*
The following is a DFT calculation (PBE) of a geometry-optimized TeAsPb structure.

a = 5.0789 Å, b = 5.0789 Å, c = 5.0789 Å
α = 60.00°, β = 60.00°, γ = 60.00°
Closest atoms and distances in Å follow each position.
Element x y z (fractional)
Pb: 0.0000 0.0000 0.0000  4 As 3.11
Te: 0.5000 0.5000 0.5000  4 As 3.11
As: 0.7500 0.7500 0.7500  4 Pb 3.11, 4 Te 3.11

## Properties
The crystal system is cubic.

***

Least stable: *iii*

***

*i*
The following is a DFT calculation (PBE) of a geometry-optimized TeAsPb structure.

a = 9.1014 Å, b = 9.0435 Å, c = 3.1724 Å
α = 80.96°, β = 78.90°, γ = 20.14°
Closest atoms and distances in Å follow each position.
Element x y z (fractional)
Te: 0.6727 0.6727 0.3273  4 Te 3.17
As: 0.9773 0.9773 0.0227  4 Pb 3.08-3.25, 4 As 3.17
Pb: 0.3500 0.3500 0.6500  4 As 3.08-3.25, 4 Pb 3.17

## Properties
The crystal system is orthorhombic.

***

*ii*
The following is a DFT calculation (PBE) of a geometry-optimized TeAsPb structure.

a = 6.7294 Å, b = 5.8131 Å, c = 5.8131 Å
α = 142.55°, β = 140.18°, γ = 53.85°
Closest atoms and distances in Å follow each position.
Element x y z (fractional)
Pb: 0.6647 0.6425 0.0222  4 As 3.12-3.20, 2 Te 3.47
As: 0.1304 0.0201 0.1103  2 Te 2.80, 2 Pb 3.12
Te: 0.2048 0.3374 0.8674  2 As 2.80

## Properties
The crystal system is monoclinic.

***

Least stable: *i*

***

*i*
The following is a DFT calculation (PBE) of a geometry-optimized TeAsPb3 structure.

a = 5.6645 Å, b = 5.6645 Å, c = 5.6645 Å
α = 90.00°, β = 90.00°, γ = 90.00°
Closest atoms and distances in Å follow each position.
Element x y z (fractional)
Pb: 0.5000 0.0000 0.0000  2 As 2.83
Pb: 0.0000 0.0000 0.5000  2 As 2.83
Pb: 0.0000 0.5000 0.0000  2 As 2.83
As: 0.0000 0.0000 0.0000  6 Pb 2.83
Te: 0.5000 0.5000 0.5000  12 Pb 4.01

## Properties
The crystal system is cubic.

***

*ii*
The following is a DFT calculation (PBE) of a geometry-optimized TeAsPb3 structure.

a = 5.9371 Å, b = 5.9371 Å, c = 5.9371 Å
α = 90.00°, β = 90.00°, γ = 90.00°
Closest atoms and distances in Å follow each position.
Element x y z (fractional)
Pb: 0.5000 0.0000 0.0000  2 Te 2.97
Pb: 0.0000 0.5000 0.0000  2 Te 2.97
Pb: 0.0000 0.0000 0.5000  2 Te 2.97
As: 0.5000 0.5000 0.5000  12 Pb 4.20
Te: 0.0000 0.0000 0.0000  6 Pb 2.97

## Properties
The crystal system is cubic.

***

Least stable: *ii*

***

*i*
The following is a DFT calculation (PBE) of a geometry-optimized Th2AsPb structure.

a = 4.0932 Å, b = 4.0932 Å, c = 8.7186 Å
α = 76.42°, β = 76.42°, γ = 60.00°
Closest atoms and distances in Å follow each position.
Element x y z (fractional)
Th: 0.2635 0.2635 0.2095  3 As 2.95
Th: 0.0698 0.0698 0.7907  3 As 2.94
As: 0.6673 0.6673 0.9982  6 Th 2.94-2.95
Pb: 0.4995 0.4995 0.5016  6 Th 3.39-3.41

## Properties
The crystal system is trigonal.

***

*ii*
The following is a DFT calculation (PBE) of a geometry-optimized Th2AsPb structure.

a = 4.4084 Å, b = 4.4091 Å, c = 7.6832 Å
α = 106.65°, β = 90.00°, γ = 120.00°
Closest atoms and distances in Å follow each position.
Element x y z (fractional)
Th: 0.2574 0.0147 0.2718  3 As 3.04, 3 Pb 3.22
Th: 0.7426 0.9853 0.7282  3 As 3.04, 3 Pb 3.22
Pb: 0.5000 0.5000 0.0000  6 Th 3.22
As: 0.0000 0.5000 0.5000  6 Th 3.04

## Properties
The crystal system is trigonal.

***

Least stable: *i*

***

*i*
The following is a DFT calculation (PBE) of a geometry-optimized TiAsPb3 structure.

a = 5.5155 Å, b = 5.5155 Å, c = 5.5155 Å
α = 90.00°, β = 90.00°, γ = 90.00°
Closest atoms and distances in Å follow each position.
Element x y z (fractional)
Pb: 0.0000 0.5000 0.0000  2 As 2.76
Pb: 0.0000 0.0000 0.5000  2 As 2.76
Pb: 0.5000 0.0000 0.0000  2 As 2.76
Ti: 0.5000 0.5000 0.5000  12 Pb 3.90
As: 0.0000 0.0000 0.0000  6 Pb 2.76

## Properties
The crystal system is cubic.

***

*ii*
The following is a DFT calculation (PBE) of a geometry-optimized TiAsPb3 structure.

a = 5.4124 Å, b = 5.4124 Å, c = 5.4124 Å
α = 90.00°, β = 90.00°, γ = 90.00°
Closest atoms and distances in Å follow each position.
Element x y z (fractional)
Pb: 0.5000 0.0000 0.0000  2 Ti 2.71
Pb: 0.0000 0.5000 0.0000  2 Ti 2.71
Pb: 0.0000 0.0000 0.5000  2 Ti 2.71
Ti: 0.0000 0.0000 0.0000  6 Pb 2.71
As: 0.5000 0.5000 0.5000  12 Pb 3.83

## Properties
The crystal system is cubic.

***

Least stable: *i*